The following is a DFT calculation (GGA-PBE) of an optimized crystal structure of Sc6TeC4.

Results
The symmetry is No. 63. As for the energy relative to the elements, uncorrected: -6.306 eV/f.u. For the volume, the calculation gives 174.1 Å³/f.u. As for the density of states at the Fermi level: 0.258 states/eV per atom.

Lattice parameters (Å, degrees): 3.4614 5.9290 17.7441 90.00 90.00 106.97
Atoms (fractional coordinates):
C  0.1368  0.2736  0.4591
C  0.8632  0.7264  0.5409
Sc  0.2253  0.4506  0.5757
C  0.1368  0.2736  0.0409
Te  0.3416  0.6832  0.7500
Sc  0.0306  0.0611  0.1426
C  0.5938  0.1875  0.6269
Sc  0.5000  0.0000  0.5000
Sc  0.9694  0.9389  0.6426
Sc  0.3569  0.7138  0.2500
Sc  0.6431  0.2862  0.7500
Sc  0.2253  0.4506  0.9243
Sc  0.0306  0.0611  0.3574
Sc  0.7747  0.5494  0.0757
Sc  0.5000  0.0000  0.0000
C  0.4062  0.8125  0.1269
Sc  0.7747  0.5494  0.4243
C  0.5938  0.1875  0.8731
Te  0.6584  0.3168  0.2500
Sc  0.9694  0.9389  0.8574
C  0.4062  0.8125  0.3731
C  0.8632  0.7264  0.9591